1.
Computed, not measured: a geometry-optimized DyU2F11 structure at the PBE-GGA level of DFT.

Summary:
The value obtained for the magnetization is 0.286 μB per atom. As for the density of states at the Fermi level: 11.4 states/eV per cell. The total DFT energy (no corrections) is -7.17 eV per atom. As for the formation energy (no corrections): -86.6 kcal/mol of atoms.

abc: 8.4489 8.6698 8.6698
angles: 73.87 60.84 60.84
Fractional positions:
Dy 0.7500 0.7500 0.7500
Dy 0.2500 0.2500 0.2500
U 0.6510 0.6828 0.3172
U 0.3490 0.3172 0.6828
U 0.8490 0.1829 0.8172
U 0.1510 0.8172 0.1829
F 0.6471 0.7095 0.5664
F 0.3529 0.2905 0.4336
F 0.0769 0.5664 0.7095
F 0.8529 0.9336 0.7905
F 0.9231 0.4336 0.2905
F 0.1471 0.0664 0.2095
F 0.4231 0.7905 0.9336
F 0.5769 0.2095 0.0664
F 0.5000 0.5000 0.5000
F 0.0000 0.0000 0.0000
F 0.8736 0.7876 0.2124
F 0.1264 0.2124 0.7876
F 0.6264 0.2876 0.7124
F 0.3736 0.7124 0.2876
F 0.4500 0.9685 0.3145
F 0.5500 0.0315 0.6855
F 0.2671 0.3145 0.9685
F 0.0500 0.1855 0.5315
F 0.7329 0.6855 0.0315
F 0.9500 0.8145 0.4685
F 0.2329 0.5315 0.1855
F 0.7671 0.4685 0.8145


2.
Computed, not measured: a geometry-optimized DyUF6 structure at the PBE-GGA level of DFT.

Summary:
The value obtained for the magnetization is 0.375 μB per atom. As for the density of states at the Fermi level: 4.5 states/eV per cell. The total DFT energy (no corrections) is -7.04 eV per atom. As for the formation energy (no corrections): -84.2 kcal/mol of atoms.

abc: 5.1473 5.1473 5.7768
angles: 95.94 95.94 110.84
Fractional positions:
Dy 0.0000 0.0000 0.0000
U 0.5000 0.5000 0.5000
F 0.2644 0.2644 0.7796
F 0.3805 0.0631 0.2522
F 0.7356 0.7356 0.2204
F 0.9369 0.6195 0.7478
F 0.6195 0.9369 0.7478
F 0.0631 0.3805 0.2522